# 1
! ZrCrCuS4 PBE relaxed; values from VASP
! ΔE_f (raw), eV per atom: -0.910
! Space-group type: P2, No. 3
&SYSTEM
  ibrav = 0, nat = 14, ntyp = 4
/
ATOMIC_SPECIES
S 32.06 S.upf
Cu 63.55 Cu.upf
Zr 91.22 Zr.upf
Cr 52.00 Cr.upf
CELL_PARAMETERS angstrom
-3.402 4.412 4.512
0.152 -4.231 4.252
5.349 1.654 2.415
ATOMIC_POSITIONS angstrom
S 0.222 0.245 2.549
S 0.112 -0.452 6.189
Cu -0.114 0.148 0.152
Zr -1.638 0.107 4.399
S -1.458 2.565 5.014
Cr -3.301 2.264 6.605
S 2.007 2.262 4.964
Cu -2.042 2.649 2.709
S 0.483 4.303 7.232
Cr 0.266 1.934 6.629
S -1.597 1.700 8.209
S 1.810 1.537 8.483
Zr 1.978 -0.287 4.358
S 3.713 -0.792 6.194

=====

# 2
! ZrCrCuS4 PBE relaxed; values from VASP
! ΔE_f (raw), eV per atom: -0.803
! Space-group type: P1, No. 1
&SYSTEM
  ibrav = 0, nat = 28, ntyp = 4
/
ATOMIC_SPECIES
Cu 63.55 Cu.upf
S 32.06 S.upf
Zr 91.22 Zr.upf
Cr 52.00 Cr.upf
CELL_PARAMETERS angstrom
6.322 0.010 -0.480
0.015 7.268 0.023
-2.097 -1.747 12.810
ATOMIC_POSITIONS angstrom
Cu 2.808 2.963 12.283
S -0.283 0.867 8.179
Zr 3.879 0.812 8.901
S 2.822 2.862 8.110
S 4.386 6.430 1.192
Cr 0.714 2.809 8.918
Cu -0.671 1.006 4.348
S 3.495 0.785 4.261
Zr 0.171 4.721 12.495
S 0.580 2.842 4.467
Cr 2.452 6.426 2.908
S 0.635 6.438 4.416
Zr 5.802 4.653 2.732
Cr 0.732 -1.078 8.953
S 4.115 4.663 11.199
Cu 4.072 4.701 8.889
S 0.835 2.662 11.143
S 4.251 0.972 11.331
S 2.715 -1.015 7.817
S -0.399 4.510 8.042
S 1.348 -0.764 11.169
S 1.320 0.894 1.443
Cr 5.419 0.930 -0.204
Zr 2.655 2.700 2.996
S 4.437 2.817 1.080
S 3.669 4.712 4.126
Cu 0.188 0.697 12.546
S 1.437 4.686 1.525

=====

| no. | M_tot (μB/f.u.) | density (g/cm³) | E above lowest polymorph (meV/atom) |
| --- | --- | --- | --- |
| 1 | 3.00 | 4.3 | 62 |
| 2 | 2.99 | 3.8 | 168 |